No. 1
# PBE K8Bi2H, optimized geometry
# total DFT energy (no corrections)	-22.4	eV per cell
# symmetry	No. 12
# magnetization	0.0	Bohr magnetons per cell
data_K8Bi2H
_symmetry_space_group_name_H-M 'P 1'
_symmetry_Int_Tables_number 1
_cell_length_a 10.961
_cell_length_b 10.961
_cell_length_c 7.900
_cell_angle_alpha 103.75
_cell_angle_beta 103.75
_cell_angle_gamma 32.54
loop_
_symmetry_equiv_pos_as_xyz
'x,y,z'
loop_
_atom_site_label
_atom_site_type_symbol
_atom_site_fract_x
_atom_site_fract_y
_atom_site_fract_z
K1 K 0.023 0.023 0.270
K2 K 0.222 0.222 0.134
K3 K 0.328 0.328 0.592
K4 K 0.411 0.411 0.183
K5 K 0.589 0.589 0.817
K6 K 0.672 0.672 0.408
K7 K 0.778 0.778 0.866
K8 K 0.977 0.977 0.730
Bi1 Bi 0.157 0.157 0.664
Bi2 Bi 0.843 0.843 0.336
H1 H 0.500 0.500 0.000


No. 2
# PBE CsNpCdO4, optimized geometry
# raw formation energy	-2.0280	eV per atom
# symmetry	No. 74
# magnetization	4.0	Bohr magnetons per cell
data_CsNpCdO4
_symmetry_space_group_name_H-M 'P 1'
_symmetry_Int_Tables_number 1
_cell_length_a 7.335
_cell_length_b 7.335
_cell_length_c 7.335
_cell_angle_alpha 122.75
_cell_angle_beta 119.64
_cell_angle_gamma 87.97
loop_
_symmetry_equiv_pos_as_xyz
'x,y,z'
loop_
_atom_site_label
_atom_site_type_symbol
_atom_site_fract_x
_atom_site_fract_y
_atom_site_fract_z
Cs1 Cs 0.366 0.116 0.250
Cs2 Cs 0.634 0.884 0.750
Np1 Np 0.000 0.000 0.500
Np2 Np 0.000 0.500 0.000
Cd1 Cd 0.000 0.500 0.500
Cd2 Cd 0.500 0.500 0.000
O1 O 0.173 0.246 0.927
O2 O 0.181 0.754 0.427
O3 O 0.197 0.247 0.550
O4 O 0.197 0.648 0.950
O5 O 0.803 0.352 0.050
O6 O 0.803 0.753 0.450
O7 O 0.819 0.246 0.573
O8 O 0.827 0.754 0.073


No. 3
# PBE AcSiGe2, optimized geometry
# raw formation energy	-0.1359	eV per atom
# energy above the most stable polymorph in this dataset	196	meV per atom
# symmetry	No. 123
# magnetization	0.0	Bohr magnetons per cell
data_AcSiGe2
_symmetry_space_group_name_H-M 'P 1'
_symmetry_Int_Tables_number 1
_cell_length_a 3.732
_cell_length_b 3.732
_cell_length_c 6.555
_cell_angle_alpha 90.00
_cell_angle_beta 90.00
_cell_angle_gamma 90.00
loop_
_symmetry_equiv_pos_as_xyz
'x,y,z'
loop_
_atom_site_label
_atom_site_type_symbol
_atom_site_fract_x
_atom_site_fract_y
_atom_site_fract_z
Ac1 Ac 0.000 0.000 0.000
Si1 Si 0.000 0.000 0.500
Ge1 Ge 0.500 0.500 0.311
Ge2 Ge 0.500 0.500 0.689


No. 4
# PBE GdErH, optimized geometry
# energy above the most stable polymorph in this dataset	0	meV per atom
# symmetry	No. 31
# magnetization	15.5	Bohr magnetons per cell
data_GdErH
_symmetry_space_group_name_H-M 'P 1'
_symmetry_Int_Tables_number 1
_cell_length_a 3.614
_cell_length_b 7.244
_cell_length_c 5.136
_cell_angle_alpha 90.00
_cell_angle_beta 90.00
_cell_angle_gamma 90.00
loop_
_symmetry_equiv_pos_as_xyz
'x,y,z'
loop_
_atom_site_label
_atom_site_type_symbol
_atom_site_fract_x
_atom_site_fract_y
_atom_site_fract_z
Gd1 Gd 0.000 0.129 0.000
Gd2 Gd 0.500 0.871 0.500
Er1 Er 0.000 0.616 0.009
Er2 Er 0.500 0.384 0.509
H1 H 0.000 0.378 0.749
H2 H 0.500 0.622 0.249


No. 5
# PBE NaBOs2Rh, optimized geometry
# formation enthalpy at 0 K	0.728	eV per atom
# symmetry	No. 123
# magnetization	0.0	Bohr magnetons per cell
data_NaBOs2Rh
_symmetry_space_group_name_H-M 'P 1'
_symmetry_Int_Tables_number 1
_cell_length_a 4.040
_cell_length_b 4.040
_cell_length_c 4.407
_cell_angle_alpha 90.00
_cell_angle_beta 90.00
_cell_angle_gamma 90.00
loop_
_symmetry_equiv_pos_as_xyz
'x,y,z'
loop_
_atom_site_label
_atom_site_type_symbol
_atom_site_fract_x
_atom_site_fract_y
_atom_site_fract_z
Na1 Na 0.000 0.000 0.000
B1 B 0.000 0.000 0.500
Os1 Os 0.000 0.500 0.500
Os2 Os 0.500 0.000 0.500
Rh1 Rh 0.500 0.500 0.000


No. 6
# PBE Y2ReCl, optimized geometry
# raw formation energy	0.5603	eV per atom
# energy above the most stable polymorph in this dataset	1200	meV per atom
# symmetry	No. 216
# magnetization	0.0	Bohr magnetons per cell
data_Y2ReCl
_symmetry_space_group_name_H-M 'P 1'
_symmetry_Int_Tables_number 1
_cell_length_a 4.953
_cell_length_b 4.953
_cell_length_c 4.953
_cell_angle_alpha 60.00
_cell_angle_beta 60.00
_cell_angle_gamma 60.00
loop_
_symmetry_equiv_pos_as_xyz
'x,y,z'
loop_
_atom_site_label
_atom_site_type_symbol
_atom_site_fract_x
_atom_site_fract_y
_atom_site_fract_z
Y1 Y 0.000 0.000 0.000
Y2 Y 0.250 0.250 0.250
Re1 Re 0.750 0.750 0.750
Cl1 Cl 0.500 0.500 0.500


No. 7
# PBE AsPI2O, optimized geometry
# raw formation energy	0.3875	eV per atom
# energy above the most stable polymorph in this dataset	229	meV per atom
# symmetry	No. 123
# magnetization	0.0	Bohr magnetons per cell
data_AsPI2O
_symmetry_space_group_name_H-M 'P 1'
_symmetry_Int_Tables_number 1
_cell_length_a 5.743
_cell_length_b 5.743
_cell_length_c 3.766
_cell_angle_alpha 90.00
_cell_angle_beta 90.00
_cell_angle_gamma 90.00
loop_
_symmetry_equiv_pos_as_xyz
'x,y,z'
loop_
_atom_site_label
_atom_site_type_symbol
_atom_site_fract_x
_atom_site_fract_y
_atom_site_fract_z
As1 As 0.000 0.000 0.000
P1 P 0.500 0.500 0.500
I1 I 0.000 0.500 0.000
I2 I 0.500 0.000 0.000
O1 O 0.000 0.000 0.500


No. 8
# PBE PaTi2Sn, optimized geometry
# energy above the most stable polymorph in this dataset	63	meV per atom
# formation enthalpy at 0 K	-0.174	eV per atom
# symmetry	No. 225
# magnetization	0.0	Bohr magnetons per cell
data_PaTi2Sn
_symmetry_space_group_name_H-M 'P 1'
_symmetry_Int_Tables_number 1
_cell_length_a 4.809
_cell_length_b 4.809
_cell_length_c 4.809
_cell_angle_alpha 60.00
_cell_angle_beta 60.00
_cell_angle_gamma 60.00
loop_
_symmetry_equiv_pos_as_xyz
'x,y,z'
loop_
_atom_site_label
_atom_site_type_symbol
_atom_site_fract_x
_atom_site_fract_y
_atom_site_fract_z
Pa1 Pa 0.000 0.000 0.000
Ti1 Ti 0.250 0.250 0.250
Ti2 Ti 0.750 0.750 0.750
Sn1 Sn 0.500 0.500 0.500


The highest magnetization belongs to which entry?
GdErH